1.
! Cr2CdS (PBE, optimized geometry); values from VASP
! Energy above the most stable polymorph in this dataset = 222 meV/atom
! Space-group type = Fm-3m
! ΔE_f (raw) = 3.18 eV per formula unit
&SYSTEM
  ibrav = 0, nat = 4, ntyp = 3
/
ATOMIC_SPECIES
Cr 52.00 Cr.upf
S 32.06 S.upf
Cd 112.41 Cd.upf
CELL_PARAMETERS angstrom
-2.090 -1.371 3.490
-2.149 2.793 2.450
-4.292 -0.049 0.051
ATOMIC_POSITIONS crystal
Cr 0.750 0.750 0.750
Cr 0.250 0.250 0.250
S 0.000 0.000 0.000
Cd 0.500 0.500 0.500

---

2.
! Th4SiGe2S (PBE, optimized geometry); values from VASP
! Space-group type = P2/m
! ΔE_f (raw) = -8.21 eV per formula unit
&SYSTEM
  ibrav = 0, nat = 8, ntyp = 4
/
ATOMIC_SPECIES
Ge 72.64 Ge.upf
Th 232.04 Th.upf
S 32.06 S.upf
Si 28.09 Si.upf
CELL_PARAMETERS angstrom
-4.236 0.206 0.415
-0.795 -3.596 -6.332
-0.227 -7.219 1.273
ATOMIC_POSITIONS crystal
Ge 0.500 0.000 0.500
Ge 0.000 0.000 0.000
Th 0.000 0.747 0.752
Th 0.000 0.253 0.248
Th 0.500 0.748 0.249
Th 0.500 0.252 0.751
S 0.000 0.500 0.500
Si 0.500 0.500 0.000

---

3.
! Li2CoGe6 (PBE, optimized geometry); values from VASP
! Space-group type = C2/m
! ΔE_f = -19.8 meV/atom
&SYSTEM
  ibrav = 0, nat = 9, ntyp = 3
/
ATOMIC_SPECIES
Ge 72.64 Ge.upf
Li 6.94 Li.upf
Co 58.93 Co.upf
CELL_PARAMETERS angstrom
-1.385 -1.994 -2.936
0.795 -6.111 3.775
-5.188 4.708 1.796
ATOMIC_POSITIONS crystal
Ge 0.830 0.027 0.663
Ge 0.830 0.637 0.663
Ge 0.170 0.973 0.337
Ge 0.500 0.789 0.000
Ge 0.500 0.211 0.000
Ge 0.170 0.363 0.337
Li 0.640 0.634 0.267
Li 0.360 0.366 0.733
Co 0.000 0.000 0.000

---

4.
! In2Hg7Pb3 (PBE, optimized geometry); values from VASP
! Energy above the most stable polymorph in this dataset = 0 meV/atom
! Space-group type = P2/m
! ΔE_f = 22.4 meV/atom
&SYSTEM
  ibrav = 0, nat = 12, ntyp = 3
/
ATOMIC_SPECIES
Hg 200.59 Hg.upf
In 114.82 In.upf
Pb 207.20 Pb.upf
CELL_PARAMETERS angstrom
3.290 0.000 0.000
0.000 5.942 -0.038
0.000 0.160 17.480
ATOMIC_POSITIONS crystal
Hg 0.000 0.000 0.000
Hg 0.000 0.497 0.164
Hg 0.000 0.503 0.836
Hg 0.500 0.251 0.500
Hg 0.500 0.997 0.160
Hg 0.500 0.749 0.500
Hg 0.500 0.003 0.840
In 0.500 0.009 0.667
In 0.500 0.991 0.333
Pb 0.500 0.500 0.000
Pb 0.000 0.490 0.339
Pb 0.000 0.510 0.661

---

5.
! BaNaS (PBE, optimized geometry); values from VASP
! Space-group type = P-6m2
! ΔE_f (raw) = -3.08 eV per formula unit
&SYSTEM
  ibrav = 0, nat = 3, ntyp = 3
/
ATOMIC_SPECIES
Ba 137.33 Ba.upf
Na 22.99 Na.upf
S 32.06 S.upf
CELL_PARAMETERS angstrom
4.744 0.000 0.000
0.000 4.650 0.000
0.000 -2.325 4.027
ATOMIC_POSITIONS crystal
Ba 0.667 0.667 0.333
Na 0.167 0.333 0.667
S 0.166 0.000 0.000

---

6.
! CoTc3Br (PBE, optimized geometry); values from VASP
! Energy above the most stable polymorph in this dataset = 283 meV/atom
! Space-group type = Pm-3m
! ΔE_f (raw) = 9.78 eV per formula unit
&SYSTEM
  ibrav = 0, nat = 5, ntyp = 3
/
ATOMIC_SPECIES
Tc 98.00 Tc.upf
Br 79.90 Br.upf
Co 58.93 Co.upf
CELL_PARAMETERS angstrom
4.482 0.000 0.000
0.000 4.482 0.000
0.000 0.000 4.482
ATOMIC_POSITIONS crystal
Tc 0.000 0.000 0.500
Tc 0.500 0.000 0.000
Tc 0.000 0.500 0.000
Br 0.000 0.000 0.000
Co 0.500 0.500 0.500

---

7.
! ZrMoRu (PBE, optimized geometry); values from VASP
! Energy above the most stable polymorph in this dataset = 119 meV/atom
! Space-group type = C2/m
! ΔE_f = -94.4 meV/atom
&SYSTEM
  ibrav = 0, nat = 6, ntyp = 3
/
ATOMIC_SPECIES
Mo 95.94 Mo.upf
Zr 91.22 Zr.upf
Ru 101.07 Ru.upf
CELL_PARAMETERS angstrom
-2.314 -3.890 -0.831
5.230 -0.621 1.090
-3.465 1.194 4.052
ATOMIC_POSITIONS crystal
Mo 0.509 0.517 0.759
Mo 0.491 0.483 0.241
Zr 0.830 0.160 0.745
Zr 0.170 0.840 0.255
Ru 0.171 0.842 0.753
Ru 0.829 0.158 0.247

---

8.
! RbIn4Pt2 (PBE, optimized geometry); values from VASP
! Space-group type = Pnma
! ΔE_f = -312.8 meV/atom
&SYSTEM
  ibrav = 0, nat = 28, ntyp = 3
/
ATOMIC_SPECIES
In 114.82 In.upf
Pt 195.08 Pt.upf
Rb 85.47 Rb.upf
CELL_PARAMETERS angstrom
4.752 0.000 0.000
0.000 7.414 0.000
0.000 0.000 19.011
ATOMIC_POSITIONS crystal
In 0.250 0.010 0.929
In 0.750 0.181 0.815
In 0.750 0.654 0.967
In 0.250 0.490 0.429
In 0.750 0.770 0.807
In 0.250 0.819 0.185
In 0.250 0.681 0.685
In 0.250 0.230 0.193
In 0.250 0.154 0.533
In 0.250 0.346 0.033
In 0.750 0.319 0.315
In 0.750 0.730 0.307
In 0.750 0.510 0.571
In 0.750 0.846 0.467
In 0.750 0.990 0.071
In 0.250 0.270 0.693
Pt 0.250 0.762 0.037
Pt 0.750 0.027 0.215
Pt 0.750 0.262 0.463
Pt 0.750 0.238 0.963
Pt 0.250 0.738 0.537
Pt 0.250 0.973 0.785
Pt 0.250 0.527 0.285
Pt 0.750 0.473 0.715
Rb 0.750 0.982 0.640
Rb 0.250 0.482 0.860
Rb 0.750 0.518 0.140
Rb 0.250 0.018 0.360